VGaCoRh: optimized geometry, PBE.

Its formation energy is -0.379 eV per atom. As for the distance to the lowest polymorph of the same formula: 26 meV/atom. The value obtained for the mass density is 8.95 g/cm3.

It has space group F-43m (No. 216), with a = 5.9414 Å, b = 5.9414 Å, c = 5.9414 Å, α = 90.00°, β = 90.00° and γ = 90.00°. The asymmetric unit holds V at (0.0000, 0.0000, 0.0000), Ga at (0.0000, 0.0000, 0.5000), Co at (0.2500, 0.2500, 0.7500) and Rh at (0.2500, 0.2500, 0.2500).

***

Sc6BeZn3: optimized geometry, PBE.

Its formation energy is -0.194 eV per atom. The value obtained for the mass density is 4.08 g/cm3.

It has space group P2_1/m (No. 11), with a = 8.2559 Å, b = 4.7097 Å, c = 10.4625 Å, α = 90.00°, β = 108.23° and γ = 90.00°. The asymmetric unit holds Sc at (0.0249, 0.2500, 0.4063), Sc at (0.1656, 0.7500, 0.1698), Sc at (0.2671, 0.2500, 0.0042), Sc at (0.3523, 0.7500, 0.8296), Sc at (0.3721, 0.2500, 0.3397), Sc at (0.3854, 0.2500, 0.6312), Be at (0.4579, 0.7500, 0.1077), Zn at (0.0267, 0.7500, 0.8758), Zn at (0.1093, 0.2500, 0.7257) and Zn at (0.2709, 0.7500, 0.4699).

***

Sn3PN: optimized geometry, PBE.

Its formation energy from raw total energies is 291 kJ/mol of formula units. As for the distance to the lowest polymorph of the same formula: 0 meV/atom. The value obtained for the mass density is 6.06 g/cm3.

It has space group Pm-3m (No. 221), with a = 4.7914 Å, b = 4.7914 Å, c = 4.7914 Å, α = 90.00°, β = 90.00° and γ = 90.00°. The asymmetric unit holds Sn at (0.0000, 0.0000, 0.5000), P at (0.5000, 0.5000, 0.5000) and N at (0.0000, 0.0000, 0.0000).

***

RbV: optimized geometry, PBE.

Its formation energy is 2.211 eV per atom. As for the distance to the lowest polymorph of the same formula: 1382 meV/atom. The value obtained for the mass density is 1.35 g/cm3.

It has space group F-43m (No. 216), with a = 8.7455 Å, b = 8.7455 Å, c = 8.7455 Å, α = 90.00°, β = 90.00° and γ = 90.00°. The asymmetric unit holds Rb at (0.0000, 0.0000, 0.0000) and V at (0.2500, 0.2500, 0.2500).